Sr2MgPd4Pb3 after structural relaxation, computed with GGA-PBE.

Output
- Total magnetization: 0.00 μB per cell
- Energy of formation: -499 kJ/mol of formula units

a = 4.694 Å, b = 4.694 Å, c = 11.311 Å
α = 90.00°, β = 90.00°, γ = 90.00°
Space group P-4m2 (No. 115)
Symmetry-distinct sites (fractional):
1 Sr 0.000 0.500 0.241 (multiplicity 2)
2 Mg 0.000 0.000 0.500 (multiplicity 1)
3 Pd 0.000 0.000 0.000 (multiplicity 1)
4 Pd 0.000 0.500 0.630 (multiplicity 2)
5 Pd 0.500 0.500 0.000 (multiplicity 1)
6 Pb 0.000 0.500 0.873 (multiplicity 2)
7 Pb 0.500 0.500 0.500 (multiplicity 1)